No. 1
Material: LiCeTm2Au4
Method: DFT, PBE
State: relaxed

Lattice parameters (Å, degrees): 4.948 4.948 8.840 73.75 73.75 60.00
Site moments in Bohr magnetons follow the coordinates.
Fractional positions:
Li 0.500 0.500 0.500  0.00
Ce 0.000 0.000 0.000  0.76
Tm 0.761 0.761 0.717  0.02
Tm 0.239 0.239 0.283  0.02
Au 0.389 0.389 0.832  0.00
Au 0.878 0.878 0.366  0.00
Au 0.122 0.122 0.634  0.00
Au 0.611 0.611 0.168  0.00

Summary:
electronic total energy = -4.4501 eV per atom
N(E_F) = 9.6 states/eV/f.u.
formation enthalpy at 0 K = -0.713 eV per atom
symmetry = No. 166

No. 2
Material: LiCe2ZnAu6
Method: DFT, PBE
State: relaxed

Lattice parameters (Å, degrees): 6.847 8.710 5.632 61.00 48.33 83.46
Site moments in Bohr magnetons follow the coordinates.
Fractional positions:
Li 0.000 0.000 0.000  0.00
Ce 0.884 0.321 0.472  0.76
Ce 0.116 0.679 0.528  0.76
Zn 0.500 0.500 0.000  0.01
Au 0.277 0.336 0.705  0.00
Au 0.709 0.917 0.750  0.00
Au 0.328 0.793 0.771  0.00
Au 0.672 0.207 0.229  0.00
Au 0.291 0.083 0.250  0.00
Au 0.723 0.664 0.295  0.00

Summary:
electronic total energy = -3.9480 eV per atom
N(E_F) = 15.4 states/eV/f.u.
formation enthalpy at 0 K = -0.476 eV per atom
symmetry = No. 2

No. 3
Material: LiCeZn2Au4
Method: DFT, PBE
State: relaxed

Lattice parameters (Å, degrees): 4.531 4.531 8.830 75.14 75.14 60.00
Site moments in Bohr magnetons follow the coordinates.
Fractional positions:
Li 0.500 0.500 0.500  0.00
Ce 0.000 0.000 0.000  0.71
Zn 0.759 0.759 0.723  0.00
Zn 0.241 0.241 0.277  0.00
Au 0.397 0.397 0.808  0.00
Au 0.869 0.869 0.392  0.00
Au 0.131 0.131 0.608  0.00
Au 0.603 0.603 0.192  0.00

Summary:
electronic total energy = -3.4232 eV per atom
N(E_F) = 7.4 states/eV/f.u.
formation enthalpy at 0 K = -0.485 eV per atom
symmetry = No. 166

No. 4
Material: CeLuAu
Method: DFT, PBE
State: relaxed

Lattice parameters (Å, degrees): 3.814 4.911 4.911 120.00 90.00 90.00
Site moments in Bohr magnetons follow the coordinates.
Fractional positions:
Lu 0.125 0.000 0.000  -0.06
Au 0.232 0.333 0.667  -0.01
Ce 0.643 0.667 0.333  -0.79

Summary:
electronic total energy = -4.8951 eV per atom
N(E_F) = 7.1 states/eV/f.u.
energy relative to the lowest polymorph listed for this composition = 0.137 eV/atom
formation enthalpy at 0 K = -0.318 eV per atom
symmetry = No. 156

No. 5
Material: CeLuAu
Method: DFT, PBE
State: relaxed

Lattice parameters (Å, degrees): 4.984 4.984 4.984 60.00 60.00 60.00
Site moments in Bohr magnetons follow the coordinates.
Fractional positions:
Lu 0.000 0.000 0.000  0.09
Au 0.250 0.250 0.250  0.02
Ce 0.500 0.500 0.500  0.80

Summary:
electronic total energy = -4.8832 eV per atom
N(E_F) = 8.4 states/eV/f.u.
energy relative to the lowest polymorph listed for this composition = 0.149 eV/atom
formation enthalpy at 0 K = -0.306 eV per atom
symmetry = No. 216

No. 6
Material: CeLuAu
Method: DFT, PBE
State: relaxed

Lattice parameters (Å, degrees): 3.524 3.524 6.812 104.99 104.99 90.00
Site moments in Bohr magnetons follow the coordinates.
Fractional positions:
Lu 0.311 0.311 0.621  0.16
Au 0.936 0.936 0.872  0.00
Ce 0.604 0.604 0.207  0.98

Summary:
electronic total energy = -5.0321 eV per atom
N(E_F) = 5.6 states/eV/f.u.
energy relative to the lowest polymorph listed for this composition = 0.000 eV/atom
formation enthalpy at 0 K = -0.455 eV per atom
symmetry = No. 107

No. 7
Material: CeLuAu2
Method: DFT, PBE
State: relaxed

Lattice parameters (Å, degrees): 3.532 3.532 7.512 90.00 90.00 90.00
Site moments in Bohr magnetons follow the coordinates.
Fractional positions:
Lu 0.500 0.500 0.000  0.00
Au 0.000 0.000 0.778  0.00
Au 0.000 0.000 0.222  0.00
Ce 0.500 0.500 0.500  0.91

Summary:
electronic total energy = -5.0117 eV per atom
N(E_F) = 7.0 states/eV/f.u.
formation enthalpy at 0 K = -0.759 eV per atom
symmetry = No. 123

No. 8
Material: CeLuMgAu
Method: DFT, PBE
State: relaxed

Lattice parameters (Å, degrees): 5.213 5.213 5.213 60.00 60.00 60.00
Site moments in Bohr magnetons follow the coordinates.
Fractional positions:
Mg 0.500 0.500 0.500  0.00
Lu 0.250 0.250 0.250  -0.01
Au 0.000 0.000 0.000  0.00
Ce 0.750 0.750 0.750  -0.65

Summary:
electronic total energy = -4.1260 eV per atom
N(E_F) = 8.0 states/eV/f.u.
formation enthalpy at 0 K = -0.294 eV per atom
symmetry = No. 216